Entry 1:
# PBE-GGA La2HoTl, optimized geometry
# Energy of formation from the pure elements: 0.08 eV/atom
# N(E_F): 1.15 states/eV/atom
# Crystal system: trigonal
data_La2HoTl
_chemical_formula_sum 'La2 Ho1 Tl1'
_cell_length_a 3.596
_cell_length_b 3.596
_cell_length_c 12.753
_cell_angle_alpha 81.90
_cell_angle_beta 81.90
_cell_angle_gamma 60.00
_symmetry_space_group_name_H-M 'P 1'
_symmetry_Int_Tables_number 1
loop_
_symmetry_equiv_pos_as_xyz
'x,y,z'
loop_
_atom_site_label
_atom_site_type_symbol
_atom_site_fract_x
_atom_site_fract_y
_atom_site_fract_z
Tl1 Tl 0.000 0.000 0.000
Ho1 Ho 0.500 0.500 0.500
La1 La 0.090 0.090 0.731
La2 La 0.910 0.910 0.269

Entry 2:
# PBE-GGA CeDyEr, optimized geometry
# Energy of formation from the pure elements: 0.06 eV/atom
# N(E_F): 2.13 states/eV/atom
# Crystal system: trigonal
data_CeDyEr
_chemical_formula_sum 'Ce1 Dy1 Er1'
_cell_length_a 3.499
_cell_length_b 3.499
_cell_length_c 8.588
_cell_angle_alpha 90.00
_cell_angle_beta 90.00
_cell_angle_gamma 120.00
_symmetry_space_group_name_H-M 'P 1'
_symmetry_Int_Tables_number 1
loop_
_symmetry_equiv_pos_as_xyz
'x,y,z'
loop_
_atom_site_label
_atom_site_type_symbol
_atom_site_fract_x
_atom_site_fract_y
_atom_site_fract_z
Dy1 Dy 0.000 0.000 0.002
Ce1 Ce 0.667 0.333 0.334
Er1 Er 0.333 0.667 0.663

Entry 3:
# PBE-GGA FeMoRh, optimized geometry
# Energy of formation from the pure elements: 0.07 eV/atom
# N(E_F): 1.17 states/eV/atom
# Crystal system: tetragonal
data_FeMoRh
_chemical_formula_sum 'Fe1 Mo1 Rh1'
_cell_length_a 4.907
_cell_length_b 4.907
_cell_length_c 4.907
_cell_angle_alpha 143.21
_cell_angle_beta 143.21
_cell_angle_gamma 53.00
_symmetry_space_group_name_H-M 'P 1'
_symmetry_Int_Tables_number 1
loop_
_symmetry_equiv_pos_as_xyz
'x,y,z'
loop_
_atom_site_label
_atom_site_type_symbol
_atom_site_fract_x
_atom_site_fract_y
_atom_site_fract_z
Fe1 Fe 0.996 0.996 0.000
Mo1 Mo 0.343 0.343 0.000
Rh1 Rh 0.660 0.660 0.000

Entry 4:
# PBE-GGA PaMn4Si2, optimized geometry
# N(E_F): 0.68 states/eV/atom
# Formation energy (no corrections): -0.462 eV/atom
# Crystal system: orthorhombic
data_PaMn4Si2
_chemical_formula_sum 'Pa1 Mn4 Si2'
_cell_length_a 3.912
_cell_length_b 3.870
_cell_length_c 6.673
_cell_angle_alpha 90.00
_cell_angle_beta 107.04
_cell_angle_gamma 90.00
_symmetry_space_group_name_H-M 'P 1'
_symmetry_Int_Tables_number 1
loop_
_symmetry_equiv_pos_as_xyz
'x,y,z'
loop_
_atom_site_label
_atom_site_type_symbol
_atom_site_fract_x
_atom_site_fract_y
_atom_site_fract_z
Pa1 Pa 0.000 0.000 0.000
Mn1 Mn 0.195 0.500 0.390
Mn2 Mn 0.302 0.000 0.604
Mn3 Mn 0.805 0.500 0.610
Mn4 Mn 0.698 0.000 0.396
Si1 Si 0.405 0.500 0.810
Si2 Si 0.595 0.500 0.190

Entry 5:
# PBE-GGA NaAc2AuO5, optimized geometry
# N(E_F): 0.08 states/eV/atom
# Formation energy (no corrections): -1.901 eV/atom
# Crystal system: tetragonal
data_NaAc2AuO5
_chemical_formula_sum 'Na2 Ac4 Au2 O10'
_cell_length_a 7.211
_cell_length_b 7.211
_cell_length_c 8.076
_cell_angle_alpha 116.52
_cell_angle_beta 116.52
_cell_angle_gamma 90.00
_symmetry_space_group_name_H-M 'P 1'
_symmetry_Int_Tables_number 1
loop_
_symmetry_equiv_pos_as_xyz
'x,y,z'
loop_
_atom_site_label
_atom_site_type_symbol
_atom_site_fract_x
_atom_site_fract_y
_atom_site_fract_z
Na1 Na 0.250 0.250 0.500
Na2 Na 0.750 0.750 0.500
Ac1 Ac 0.178 0.322 0.000
Ac2 Ac 0.678 0.178 0.000
Ac3 Ac 0.322 0.822 0.000
Ac4 Ac 0.822 0.678 0.000
Au1 Au 0.250 0.750 0.500
Au2 Au 0.750 0.250 0.500
O1 O 0.988 0.488 0.238
O2 O 0.749 0.249 0.762
O3 O 0.012 0.512 0.762
O4 O 0.249 0.012 0.762
O5 O 0.512 0.749 0.762
O6 O 0.751 0.988 0.238
O7 O 0.488 0.251 0.238
O8 O 0.251 0.751 0.238
O9 O 0.500 0.500 0.000
O10 O 0.000 0.000 0.000

Entry 6:
# PBE-GGA Nd4Y6Ho, optimized geometry
# Energy of formation from the pure elements: 0.16 eV/atom
# N(E_F): 1.63 states/eV/atom
# Crystal system: hexagonal
data_Nd4Y6Ho
_chemical_formula_sum 'Nd4 Y6 Ho1'
_cell_length_a 3.602
_cell_length_b 10.995
_cell_length_c 10.995
_cell_angle_alpha 120.00
_cell_angle_beta 90.00
_cell_angle_gamma 90.00
_symmetry_space_group_name_H-M 'P 1'
_symmetry_Int_Tables_number 1
loop_
_symmetry_equiv_pos_as_xyz
'x,y,z'
loop_
_atom_site_label
_atom_site_type_symbol
_atom_site_fract_x
_atom_site_fract_y
_atom_site_fract_z
Nd1 Nd 0.500 0.841 0.682
Nd2 Nd 0.500 0.318 0.159
Nd3 Nd 0.500 0.841 0.159
Nd4 Nd 0.000 0.333 0.667
Y1 Y 0.000 0.521 0.042
Y2 Y 0.500 0.634 0.817
Y3 Y 0.000 0.521 0.479
Y4 Y 0.000 0.958 0.479
Y5 Y 0.500 0.183 0.817
Y6 Y 0.500 0.183 0.366
Ho1 Ho 0.000 0.000 0.000

- N(E_F) of number 5 (NaAc2AuO5)?
  0.08 states/eV/atom

- Which of these has the lowest N(E_F)?
  NaAc2AuO5

- The lowest N(E_F) belongs to which entry?
  NaAc2AuO5

- What is the N(E_F) in the fifth record?
  0.08 states/eV/atom